Entry 1:
DFT (GGA-PBE) results for a geometry-optimized AcSnRu2 structure. Values from VASP.

- Magnetic moment: 0.0 μB per formula unit
- Space-group type: P4/mmm (123)
- DFT formation energy: 60 meV per atom

Cell and atoms, written as Quantum ESPRESSO input:
```
&SYSTEM
  ibrav = 0, nat = 4, ntyp = 3
/
ATOMIC_SPECIES
Ac 227.00 Ac.upf
Sn 118.71 Sn.upf
Ru 101.07 Ru.upf
ATOMIC_POSITIONS crystal
Ac 0.000 0.000 0.000
Sn 0.000 0.000 0.500
Ru 0.500 0.500 0.294
Ru 0.500 0.500 0.706
CELL_PARAMETERS angstrom
3.438 0.000 0.000
0.000 3.438 0.000
0.000 0.000 7.028
```



Entry 2:
DFT (GGA-PBE) results for a geometry-optimized Ac3Sn2Ru structure. Values from VASP.

- Magnetic moment: 0.0 μB per formula unit
- Relative energy among the computed polymorphs: 0.0 meV per atom
- Space-group type: Pnma (62)
- DFT formation energy: -547 meV per atom

Cell and atoms, written as Quantum ESPRESSO input:
```
&SYSTEM
  ibrav = 0, nat = 24, ntyp = 3
/
ATOMIC_SPECIES
Ac 227.00 Ac.upf
Sn 118.71 Sn.upf
Ru 101.07 Ru.upf
ATOMIC_POSITIONS crystal
Ac 0.052 0.250 0.129
Ac 0.117 0.750 0.544
Ac 0.235 0.250 0.788
Ac 0.265 0.750 0.288
Ac 0.383 0.250 0.044
Ac 0.448 0.750 0.629
Ac 0.552 0.250 0.371
Ac 0.617 0.750 0.956
Ac 0.735 0.250 0.712
Ac 0.765 0.750 0.212
Ac 0.883 0.250 0.456
Ac 0.948 0.750 0.871
Sn 0.013 0.750 0.312
Sn 0.192 0.750 0.990
Sn 0.308 0.250 0.490
Sn 0.487 0.250 0.812
Sn 0.513 0.750 0.188
Sn 0.692 0.750 0.510
Sn 0.808 0.250 0.010
Sn 0.987 0.250 0.688
Ru 0.135 0.250 0.369
Ru 0.365 0.750 0.869
Ru 0.635 0.250 0.131
Ru 0.865 0.750 0.631
CELL_PARAMETERS angstrom
13.403 0.000 0.000
0.000 4.539 0.000
0.000 0.000 13.064
```



Entry 3:
DFT (GGA-PBE) results for a geometry-optimized Ac3Sn2Ru structure. Values from VASP.

- Magnetic moment: 0.0 μB per formula unit
- Relative energy among the computed polymorphs: 354.7 meV per atom
- Space-group type: Immm (71)
- DFT formation energy: -193 meV per atom

Cell and atoms, written as Quantum ESPRESSO input:
```
&SYSTEM
  ibrav = 0, nat = 6, ntyp = 3
/
ATOMIC_SPECIES
Ac 227.00 Ac.upf
Sn 118.71 Sn.upf
Ru 101.07 Ru.upf
ATOMIC_POSITIONS crystal
Ac 0.000 0.000 0.000
Ac 0.349 0.849 0.500
Ac 0.651 0.151 0.500
Sn 0.163 0.663 0.500
Sn 0.837 0.337 0.500
Ru 0.500 0.000 0.500
CELL_PARAMETERS angstrom
-1.914 2.854 9.299
1.914 -2.854 9.299
1.914 2.854 -9.299
```



Entry 4:
DFT (GGA-PBE) results for a geometry-optimized Ac3SnRu structure. Values from VASP.

- Magnetic moment: 0.0 μB per formula unit
- Relative energy among the computed polymorphs: 0.0 meV per atom
- Space-group type: Pnma (62)
- DFT formation energy: -425 meV per atom

Cell and atoms, written as Quantum ESPRESSO input:
```
&SYSTEM
  ibrav = 0, nat = 20, ntyp = 3
/
ATOMIC_SPECIES
Ac 227.00 Ac.upf
Sn 118.71 Sn.upf
Ru 101.07 Ru.upf
ATOMIC_POSITIONS crystal
Ac 0.048 0.250 0.126
Ac 0.190 0.250 0.506
Ac 0.222 0.750 0.294
Ac 0.278 0.250 0.794
Ac 0.310 0.750 0.006
Ac 0.452 0.750 0.626
Ac 0.548 0.250 0.374
Ac 0.690 0.250 0.994
Ac 0.722 0.750 0.206
Ac 0.778 0.250 0.706
Ac 0.810 0.750 0.494
Ac 0.952 0.750 0.874
Sn 0.062 0.750 0.664
Sn 0.438 0.250 0.164
Sn 0.562 0.750 0.836
Sn 0.938 0.250 0.336
Ru 0.099 0.250 0.944
Ru 0.401 0.750 0.444
Ru 0.599 0.250 0.556
Ru 0.901 0.750 0.056
CELL_PARAMETERS angstrom
8.814 0.000 0.000
0.000 4.789 0.000
0.000 0.000 16.085
```



Entry 5:
DFT (GGA-PBE) results for a geometry-optimized Ac2Sn3Ru structure. Values from VASP.

- Magnetic moment: 0.0 μB per formula unit
- Relative energy among the computed polymorphs: 2.2 meV per atom
- Space-group type: Pmm2 (25)
- DFT formation energy: -473 meV per atom

Cell and atoms, written as Quantum ESPRESSO input:
```
&SYSTEM
  ibrav = 0, nat = 6, ntyp = 3
/
ATOMIC_SPECIES
Ac 227.00 Ac.upf
Sn 118.71 Sn.upf
Ru 101.07 Ru.upf
ATOMIC_POSITIONS crystal
Ac 0.000 0.000 0.000
Ac 0.000 0.500 0.456
Sn 0.500 0.000 0.605
Sn 0.500 0.500 0.151
Sn 0.500 0.500 0.801
Ru 0.500 0.000 0.282
CELL_PARAMETERS angstrom
4.530 0.000 0.000
0.000 4.817 0.000
0.000 0.000 8.243
```



Entry 6:
DFT (GGA-PBE) results for a geometry-optimized Ac2Sn3Ru structure. Values from VASP.

- Magnetic moment: 0.0 μB per formula unit
- Relative energy among the computed polymorphs: 0.0 meV per atom
- Space-group type: Fmmm (69)
- DFT formation energy: -476 meV per atom

Cell and atoms, written as Quantum ESPRESSO input:
```
&SYSTEM
  ibrav = 0, nat = 12, ntyp = 3
/
ATOMIC_SPECIES
Ac 227.00 Ac.upf
Sn 118.71 Sn.upf
Ru 101.07 Ru.upf
ATOMIC_POSITIONS crystal
Ac 0.241 0.759 0.759
Ac 0.250 0.250 0.250
Ac 0.750 0.750 0.750
Ac 0.759 0.241 0.241
Sn 0.153 0.671 0.329
Sn 0.324 0.324 0.676
Sn 0.329 0.847 0.153
Sn 0.671 0.153 0.847
Sn 0.676 0.676 0.324
Sn 0.847 0.329 0.671
Ru 0.164 0.164 0.836
Ru 0.836 0.836 0.164
CELL_PARAMETERS angstrom
0.000 4.797 8.182
4.561 0.000 8.182
4.561 4.797 0.000
```



Entry 7:
DFT (GGA-PBE) results for a geometry-optimized Ac6SnRu2 structure. Values from VASP.

- Magnetic moment: 0.0 μB per formula unit
- Relative energy among the computed polymorphs: 101.0 meV per atom
- Space-group type: C2/c (15)
- DFT formation energy: -178 meV per atom

Cell and atoms, written as Quantum ESPRESSO input:
```
&SYSTEM
  ibrav = 0, nat = 18, ntyp = 3
/
ATOMIC_SPECIES
Ac 227.00 Ac.upf
Sn 118.71 Sn.upf
Ru 101.07 Ru.upf
ATOMIC_POSITIONS crystal
Ac 0.041 0.672 0.451
Ac 0.105 0.673 0.853
Ac 0.250 0.447 0.139
Ac 0.327 0.895 0.647
Ac 0.328 0.959 0.049
Ac 0.447 0.250 0.639
Ac 0.553 0.750 0.361
Ac 0.672 0.041 0.951
Ac 0.673 0.105 0.353
Ac 0.750 0.553 0.861
Ac 0.895 0.327 0.147
Ac 0.959 0.328 0.549
Sn 0.082 0.918 0.250
Sn 0.918 0.082 0.750
Ru 0.189 0.257 0.838
Ru 0.257 0.189 0.338
Ru 0.743 0.811 0.662
Ru 0.811 0.743 0.162
CELL_PARAMETERS angstrom
7.759 -4.298 0.000
7.759 4.298 0.000
-3.876 0.000 9.182
```



Entry 8:
DFT (GGA-PBE) results for a geometry-optimized Ac3Sn5Ru structure. Values from VASP.

- Magnetic moment: 0.0 μB per formula unit
- Space-group type: P-62m (189)
- DFT formation energy: -562 meV per atom

Cell and atoms, written as Quantum ESPRESSO input:
```
&SYSTEM
  ibrav = 0, nat = 9, ntyp = 3
/
ATOMIC_SPECIES
Ac 227.00 Ac.upf
Sn 118.71 Sn.upf
Ru 101.07 Ru.upf
ATOMIC_POSITIONS crystal
Ac 0.000 0.612 0.000
Ac 0.388 0.388 0.000
Ac 0.612 0.000 0.000
Sn 0.000 0.223 0.500
Sn 0.223 0.000 0.500
Sn 0.333 0.667 0.500
Sn 0.667 0.333 0.500
Sn 0.777 0.777 0.500
Ru 0.000 0.000 0.000
CELL_PARAMETERS angstrom
8.139 0.000 0.000
-4.069 7.048 0.000
0.000 0.000 4.653
```



Number 1: total energy -6.61 eV per atom. Number 2: total energy -5.48 eV per atom. Number 3: total energy -5.13 eV per atom. Number 4: total energy -5.55 eV per atom. Number 5: total energy -5.39 eV per atom. Number 6: total energy -5.39 eV per atom. Number 7: total energy -5.42 eV per atom. Number 8: total energy -5.19 eV per atom.